[1]
MgFe22B6: relaxed, PBE-GGA.

Summary:
Energy, eV for the cell shown: -930.4

abc: 10.604 10.604 10.604
angles: 90.00 90.00 90.00
Space group Fm-3m (No. 225)
Unique sites:
Mg (0.000, 0.000, 0.000) [4 per cell]
Fe (0.000, 0.173, 0.173) [48 per cell]
Fe (0.119, 0.119, 0.381) [32 per cell]
Fe (0.250, 0.250, 0.250) [8 per cell]
B (0.000, 0.000, 0.275) [24 per cell]

***

[2]
MgFe2B4: relaxed, PBE-GGA.

Summary:
Energy above the lowest structure with this stoichiometry, kJ/mol of formula units: 1259

abc: 3.976 3.976 10.813
angles: 90.00 90.00 90.00
Space group I4/mmm (No. 139)
Unique sites:
Mg (0.000, 0.000, 0.000) [2 per cell]
Fe (0.000, 0.000, 0.395) [4 per cell]
B (0.000, 0.000, 0.214) [4 per cell]
B (0.000, 0.500, 0.000) [4 per cell]

***

[3]
Mg2FeB2: relaxed, PBE-GGA.

Summary:
Energy, eV for the cell shown: -48.2

abc: 5.643 5.643 3.644
angles: 90.00 90.00 90.00
Space group P4/mbm (No. 127)
Unique sites:
Mg (0.185, 0.315, 0.000) [4 per cell]
Fe (0.000, 0.000, 0.500) [2 per cell]
B (0.105, 0.605, 0.500) [4 per cell]

***

[4]
MgFeB: relaxed, PBE-GGA.

Summary:
Energy, eV for the cell shown: -34.0

abc: 3.475 3.475 5.895
angles: 90.00 90.00 90.00
Space group P4/nmm (No. 129, origin choice 2)
Unique sites:
Mg (0.250, 0.250, 0.152) [2 per cell]
Fe (0.250, 0.750, 0.500) [2 per cell]
B (0.250, 0.250, 0.691) [2 per cell]

***

[5]
MgFeB6: relaxed, PBE-GGA.

Summary:
Energy, eV for the cell shown: -99.9

abc: 6.411 2.977 7.835
angles: 90.00 112.16 90.00
Space group C2/m (No. 12)
Unique sites:
Mg (0.000, 0.000, 0.000) [2 per cell]
Fe (0.000, 0.000, 0.500) [2 per cell]
B (0.084, 0.500, 0.746) [4 per cell]
B (0.178, 0.500, 0.426) [4 per cell]
B (0.237, 0.000, 0.767) [4 per cell]

***

[6]
MgFeB4: relaxed, PBE-GGA.

Summary:
Energy, eV for the cell shown: -153.0

abc: 5.786 11.118 3.187
angles: 90.00 90.00 90.00
Space group Pbam (No. 55)
Unique sites:
Mg (0.125, 0.151, 0.000) [4 per cell]
Fe (0.132, 0.416, 0.000) [4 per cell]
B (0.021, 0.695, 0.500) [4 per cell]
B (0.114, 0.549, 0.500) [4 per cell]
B (0.134, 0.969, 0.500) [4 per cell]
B (0.212, 0.816, 0.500) [4 per cell]

***

[7]
Mg2FeB10: relaxed, PBE-GGA.

Summary:
Energy, eV for the cell shown: -156.9

abc: 5.556 11.137 4.154
angles: 90.00 90.00 90.00
Space group Pbam (No. 55)
Unique sites:
Mg (0.246, 0.114, 0.000) [4 per cell]
Fe (0.000, 0.000, 0.500) [2 per cell]
B (0.021, 0.815, 0.500) [4 per cell]
B (0.125, 0.458, 0.500) [4 per cell]
B (0.167, 0.301, 0.500) [4 per cell]
B (0.201, 0.885, 0.200) [8 per cell]

***

[8]
Mg14FeB: relaxed, PBE-GGA.

Summary:
Energy above the lowest structure with this stoichiometry, kJ/mol of formula units: 0

abc: 8.937 7.600 9.721
angles: 90.00 90.00 90.00
Space group Amm2 (No. 38)
Unique sites:
Mg (0.000, 0.000, 0.000) [2 per cell]
Mg (0.000, 0.000, 0.458) [2 per cell]
Mg (0.000, 0.205, 0.730) [4 per cell]
Mg (0.233, 0.000, 0.232) [4 per cell]
Mg (0.289, 0.000, 0.641) [4 per cell]
Mg (0.309, 0.197, 0.928) [8 per cell]
Mg (0.500, 0.214, 0.185) [4 per cell]
Fe (0.500, 0.000, 0.425) [2 per cell]
B (0.500, 0.000, 0.810) [2 per cell]

***

In the order shown, the computed density of states at the Fermi level values come out to 99.1; 9.8; 5.7; 3.8; 4.9; 5.1; 10.1; 17.9 states/eV per cell.